VASP calculation (PBE+U) on a geometry-optimized K2SrCo3F12 structure.

Cell lengths 7.0022, 7.0022, 7.0022 Å; angles 65.45, 65.45, 65.45 degrees
Each line ends with the local moment (μB).
Atoms (fractional coordinates):
F 0.1305 0.5781 0.1305  -0.02
F 0.7273 0.7273 0.1035  0.03
F 0.8965 0.2727 0.2727  0.03
F 0.4219 0.8695 0.8695  -0.02
F 0.2727 0.2727 0.8965  0.03
F 0.2727 0.8965 0.2727  0.03
F 0.8695 0.8695 0.4219  -0.02
F 0.5781 0.1305 0.1305  -0.02
F 0.1035 0.7273 0.7273  0.03
F 0.7273 0.1035 0.7273  0.03
F 0.1305 0.1305 0.5781  -0.02
F 0.8695 0.4219 0.8695  -0.02
K 0.6140 0.6140 0.6140  0.00
K 0.3860 0.3860 0.3860  0.00
Co 0.5000 0.0000 0.0000  2.30
Co 0.0000 0.0000 0.5000  2.30
Co 0.0000 0.5000 0.0000  2.30
Sr 0.0000 0.0000 0.0000  0.00

## Properties
DFT total energy ... -86.17 eV for the cell shown
Space-group type ... R-3m (166)